(1)
Here is a relaxed ZrIn2Cl crystal from Alexandria. Energies are from PBEsol.

Summary:
Volume in Å³ per atom: 22.171
Excess energy over the best structure of this formula in the dataset in eV/atom: 0.1835
Formation energy (no corrections) in meV per atom: -317
Space-group type: R-3m, No. 166

Cell: 3.3531 3.3531 9.3118 Å, 79.63 79.63 60.00°
With the nearest neighbours (Å) after each atom.
Fractional positions:
1 Cl 0.0000 0.0000 0.0000  6 In 2.96
2 Zr 0.5000 0.5000 0.5000  6 In 3.02, 6 Zr 3.35
3 In 0.2515 0.2515 0.2455  3 Cl 2.96, 3 Zr 3.02
4 In 0.7485 0.7485 0.7545  3 Cl 2.96, 3 Zr 3.02

=====

(2)
Here is a relaxed ZrIn2Cl crystal from Alexandria. Energies are from PBEsol.

Summary:
Volume in Å³ per atom: 22.553
Excess energy over the best structure of this formula in the dataset in eV/atom: 0.0179
Formation energy (no corrections) in meV per atom: -483
Space-group type: Imm2, No. 44

Cell: 3.1193 5.4161 6.1871 Å, 115.96 104.60 90.00°
With the nearest neighbours (Å) after each atom.
Fractional positions:
1 Cl 0.2103 0.7103 0.4205  2 Zr 2.54
2 Zr 0.5231 0.5231 0.0461  2 Cl 2.54
3 In 0.9942 0.9942 0.9885  4 In 3.12-3.36, 4 Zr 3.14, 2 Cl 3.41
4 In 0.7724 0.2724 0.5449  2 Zr 3.10, 4 In 3.12-3.36, 4 Cl 3.19

=====

(3)
Here is a relaxed Ir2Cl crystal from Alexandria. Energies are from PBEsol.

Summary:
Volume in Å³ per atom: 15.323
Formation energy (no corrections) in meV per atom: 814
Space-group type: I4/mmm, No. 139

Cell: 2.8115 2.8115 6.1458 Å, 103.22 103.22 90.00°
With the nearest neighbours (Å) after each atom.
Fractional positions:
1 Ir 0.3225 0.3225 0.6451  8 Ir 2.61-2.81, 4 Cl 2.87
2 Ir 0.6775 0.6775 0.3549  8 Ir 2.61-2.81, 4 Cl 2.87
3 Cl 0.0000 0.0000 0.0000  4 Cl 2.81, 8 Ir 2.87

=====

(4)
Here is a relaxed K2IrCl crystal from Alexandria. Energies are from PBEsol.

Summary:
Volume in Å³ per atom: 24.547
Formation energy (no corrections) in meV per atom: 94
Space-group type: Amm2, No. 38

Cell: 2.7588 5.8624 6.2257 Å, 90.00 102.80 90.00°
With the nearest neighbours (Å) after each atom.
Fractional positions:
1 K 0.0048 0.5000 0.0097  2 K 2.76
2 K 0.2414 0.0000 0.4828  2 K 2.76
3 Ir 0.7488 0.5000 0.4975  2 Ir 2.76
4 Cl 0.5050 0.0000 0.0100  2 Cl 2.76

=====

(5)
Here is a relaxed KIrCl2 crystal from Alexandria. Energies are from PBEsol.

Summary:
Volume in Å³ per atom: 21.852
Formation energy (no corrections) in meV per atom: 257
Space-group type: I-4m2, No. 119

Cell: 3.7874 3.7874 6.6560 Å, 106.53 106.53 90.00°
With the nearest neighbours (Å) after each atom.
Fractional positions:
1 K 0.2500 0.7500 0.5000  4 Cl 2.68
2 Ir 0.5000 0.5000 0.0000  4 Cl 2.68
3 Cl 0.0000 0.0000 0.0000  4 Ir 2.68
4 Cl 0.7500 0.2500 0.5000  4 K 2.68

=====

(6)
Here is a relaxed K3IrCl6 crystal from Alexandria. Energies are from PBEsol.

Summary:
Volume in Å³ per atom: 25.868
Formation energy (no corrections) in meV per atom: -1387
Space-group type: P2_1/c, No. 14

Cell: 7.4445 11.7589 12.4191 Å, 107.87 90.00 90.00°
With the nearest neighbours (Å) after each atom.
Fractional positions:
1 K 0.0683 0.3845 0.1827  8 Cl 3.11-3.36
2 K 0.5683 0.1155 0.8173  8 Cl 3.11-3.36
3 K 0.9317 0.6155 0.8173  8 Cl 3.11-3.36
4 K 0.4317 0.8845 0.1827  8 Cl 3.11-3.36
5 K 0.9258 0.7323 0.1816  7 Cl 3.01-3.34
6 K 0.4258 0.7677 0.8184  7 Cl 3.01-3.34
7 K 0.0742 0.2677 0.8184  7 Cl 3.01-3.34
8 K 0.5742 0.2323 0.1816  7 Cl 3.01-3.34
9 K 0.4473 0.6446 0.4048  8 Cl 3.17-3.37
10 K 0.9473 0.8554 0.5952  8 Cl 3.17-3.37
11 K 0.5527 0.3554 0.5952  8 Cl 3.17-3.37
12 K 0.0527 0.1446 0.4048  8 Cl 3.17-3.37
13 Ir 0.0000 0.0000 0.0000  6 Cl 2.34-2.35
14 Ir 0.5000 0.5000 0.0000  6 Cl 2.34-2.35
15 Ir 0.0000 0.5000 0.5000  6 Cl 2.34-2.36
16 Ir 0.5000 0.0000 0.5000  6 Cl 2.34-2.36
17 Cl 0.0055 0.6195 0.3800  1 Ir 2.34
18 Cl 0.5055 0.8805 0.6200  1 Ir 2.34
19 Cl 0.9945 0.3805 0.6200  1 Ir 2.34
20 Cl 0.4945 0.1195 0.3800  1 Ir 2.34
21 Cl 0.1848 0.6424 0.6236  1 Ir 2.34
22 Cl 0.6848 0.8576 0.3764  1 Ir 2.34
23 Cl 0.8152 0.3576 0.3764  1 Ir 2.34
24 Cl 0.3152 0.1424 0.6236  1 Ir 2.34
25 Cl 0.7410 0.6014 0.5889  1 Ir 2.36
26 Cl 0.2410 0.8986 0.4111  1 Ir 2.36
27 Cl 0.2590 0.3986 0.4111  1 Ir 2.36
28 Cl 0.7590 0.1014 0.5889  1 Ir 2.36
29 Cl 0.7946 0.8979 0.8603  1 Ir 2.35
30 Cl 0.2946 0.6021 0.1397  1 Ir 2.35
31 Cl 0.2054 0.1021 0.1397  1 Ir 2.35
32 Cl 0.7054 0.3979 0.8603  1 Ir 2.35
33 Cl 0.1916 0.0059 0.8516  1 Ir 2.35
34 Cl 0.6916 0.4941 0.1484  1 Ir 2.35
35 Cl 0.8084 0.9941 0.1484  1 Ir 2.35
36 Cl 0.3084 0.5059 0.8516  1 Ir 2.35
37 Cl 0.1286 0.8185 0.0011  1 Ir 2.34
38 Cl 0.6286 0.6815 0.9989  1 Ir 2.34
39 Cl 0.8714 0.1815 0.9989  1 Ir 2.34
40 Cl 0.3714 0.3185 0.0011  1 Ir 2.34

=====

(7)
Here is a relaxed KLaIrCl2 crystal from Alexandria. Energies are from PBEsol.

Summary:
Volume in Å³ per atom: 26.443
Formation energy (no corrections) in meV per atom: 52
Space-group type: P4/mmm, No. 123

Cell: 5.0674 5.0674 5.1489 Å, 90.00 90.00 90.00°
With the nearest neighbours (Å) after each atom.
Fractional positions:
1 Cl 0.0000 0.5000 0.0000  2 K 2.53
2 Cl 0.5000 0.0000 0.0000  2 K 2.53
3 K 0.0000 0.0000 0.0000  4 Cl 2.53, 2 Ir 2.57
4 Ir 0.0000 0.0000 0.5000  2 K 2.57
5 La 0.5000 0.5000 0.5000  4 Ir 3.58, 8 Cl 3.61

=====

(8)
Here is a relaxed KIr2RhCl crystal from Alexandria. Energies are from PBEsol.

Summary:
Volume in Å³ per atom: 22.214
Formation energy (no corrections) in meV per atom: 3176
Space-group type: P4/mmm, No. 123

Cell: 4.8243 4.8243 4.7724 Å, 90.00 90.00 90.00°
With the nearest neighbours (Å) after each atom.
Fractional positions:
1 K 0.0000 0.0000 0.0000  2 Rh 2.39, 4 Ir 2.41
2 Ir 0.0000 0.5000 0.0000  2 K 2.41
3 Ir 0.5000 0.0000 0.0000  2 K 2.41
4 Rh 0.0000 0.0000 0.5000  2 K 2.39
5 Cl 0.5000 0.5000 0.5000  8 Ir 3.39, 4 Rh 3.41

=====

(9)
Here is a relaxed KIrSCl2 crystal from Alexandria. Energies are from PBEsol.

Summary:
Volume in Å³ per atom: 22.744
Formation energy (no corrections) in meV per atom: -633
Space-group type: P4/mmm, No. 123

Cell: 4.3632 5.1053 5.1053 Å, 90.00 90.00 90.00°
With the nearest neighbours (Å) after each atom.
Fractional positions:
1 K 0.5000 0.5000 0.5000  8 Cl 3.36, 4 S 3.61
2 Ir 0.0000 0.0000 0.0000  2 S 2.18
3 S 0.5000 0.0000 0.0000  2 Ir 2.18
4 Cl 0.0000 0.0000 0.5000  2 Ir 2.55
5 Cl 0.0000 0.5000 0.0000  2 Ir 2.55

=====

(10)
Here is a relaxed K3SnIrCl8 crystal from Alexandria. Energies are from PBEsol.

Summary:
Volume in Å³ per atom: 26.928
Formation energy (no corrections) in meV per atom: -1320
Space-group type: Pmn2_1, No. 31

Cell: 7.8220 9.3596 9.5632 Å, 90.00 90.00 90.00°
With the nearest neighbours (Å) after each atom.
Fractional positions:
1 K 0.9367 0.2423 0.3755  7 Cl 3.08-3.31
2 K 0.4367 0.2577 0.6245  7 Cl 3.08-3.31
3 K 0.9367 0.7577 0.3755  7 Cl 3.08-3.31
4 K 0.0020 0.0000 0.8690  8 Cl 3.12-3.42
5 K 0.5020 0.5000 0.1310  8 Cl 3.12-3.42
6 K 0.4367 0.7423 0.6245  7 Cl 3.08-3.31
7 Sn 0.5191 0.0000 0.0942  3 Cl 2.40-2.42, 1 Ir 2.50
8 Sn 0.0191 0.5000 0.9058  3 Cl 2.40-2.42, 1 Ir 2.50
9 Ir 0.8408 0.5000 0.6889  5 Cl 2.34-2.42, 1 Sn 2.50
10 Ir 0.3408 0.0000 0.3111  5 Cl 2.34-2.42, 1 Sn 2.50
11 Cl 0.5812 0.5000 0.8109  1 Ir 2.34
12 Cl 0.2183 0.6922 0.9351  1 Sn 2.40
13 Cl 0.7183 0.1922 0.0649  1 Sn 2.40
14 Cl 0.1820 0.0000 0.5278  1 Ir 2.42
15 Cl 0.6820 0.5000 0.4722  1 Ir 2.42
16 Cl 0.8365 0.7515 0.6866  1 Ir 2.35
17 Cl 0.0812 0.0000 0.1891  1 Ir 2.34
18 Cl 0.1007 0.5000 0.5625  1 Ir 2.37
19 Cl 0.7183 0.8078 0.0649  1 Sn 2.40
20 Cl 0.4224 0.0000 0.8539  1 Sn 2.42
21 Cl 0.2183 0.3078 0.9351  1 Sn 2.40
22 Cl 0.6007 0.0000 0.4375  1 Ir 2.37
23 Cl 0.9224 0.5000 0.1461  1 Sn 2.42
24 Cl 0.8365 0.2485 0.6866  1 Ir 2.35
25 Cl 0.3365 0.7485 0.3134  1 Ir 2.35
26 Cl 0.3365 0.2515 0.3134  1 Ir 2.35

=====

(11)
Here is a relaxed LaIr2Cl crystal from Alexandria. Energies are from PBEsol.

Summary:
Volume in Å³ per atom: 18.027
Excess energy over the best structure of this formula in the dataset in eV/atom: 0.6573
Formation energy (no corrections) in meV per atom: 216
Space-group type: R3m, No. 160

Cell: 3.0118 3.0118 9.3426 Å, 80.72 80.72 60.00°
With the nearest neighbours (Å) after each atom.
Fractional positions:
1 Cl 0.2543 0.2543 0.2371  3 Ir 2.85, 3 La 2.89, 6 Cl 3.01
2 Ir 0.0028 0.0028 0.9916  3 Ir 2.58, 3 Cl 2.85
3 Ir 0.7389 0.7389 0.7832  3 Ir 2.58
4 La 0.5040 0.5040 0.4881  3 Cl 2.89, 6 La 3.01, 3 Ir 3.22

=====

(12)
Here is a relaxed LaIr2Cl crystal from Alexandria. Energies are from PBEsol.

Summary:
Volume in Å³ per atom: 18.720
Excess energy over the best structure of this formula in the dataset in eV/atom: 0.1573
Formation energy (no corrections) in meV per atom: -284
Space-group type: Immm, No. 71

Cell: 3.0315 4.5076 6.1140 Å, 111.58 104.35 90.00°
With the nearest neighbours (Å) after each atom.
Fractional positions:
1 Cl 0.5000 0.0000 0.0000  4 La 2.72, 2 Cl 3.03
2 Ir 0.7445 0.7445 0.4891  6 Ir 2.72-3.03
3 Ir 0.2555 0.2555 0.5109  6 Ir 2.72-3.03
4 La 0.0000 0.5000 0.0000  4 Cl 2.72, 2 La 3.03

=====

(13)
Here is a relaxed LaIrCl3 crystal from Alexandria. Energies are from PBEsol.

Summary:
Volume in Å³ per atom: 32.853
Formation energy (no corrections) in meV per atom: -248
Space-group type: Pm-3m, No. 221

Cell: 5.4767 5.4767 5.4767 Å, 90.00 90.00 90.00°
With the nearest neighbours (Å) after each atom.
Fractional positions:
1 Cl 0.0000 0.5000 0.0000  2 La 2.74
2 Cl 0.0000 0.0000 0.5000  2 La 2.74
3 Cl 0.5000 0.0000 0.0000  2 La 2.74
4 Ir 0.5000 0.5000 0.5000  12 Cl 3.87
5 La 0.0000 0.0000 0.0000  6 Cl 2.74

=====

(14)
Here is a relaxed LaIr2Cl crystal from Alexandria. Energies are from PBEsol.

Summary:
Volume in Å³ per atom: 22.851
Excess energy over the best structure of this formula in the dataset in eV/atom: 0.0000
Formation energy (no corrections) in meV per atom: -441
Space-group type: Pm, No. 6

Cell: 3.5087 3.4759 7.6547 Å, 90.00 101.73 90.00°
With the nearest neighbours (Å) after each atom.
Fractional positions:
1 Cl 0.6421 0.5000 0.6956  4 La 2.95
2 Ir 0.8881 0.0000 0.1222  4 Ir 2.54, 1 La 2.68
3 Ir 0.4236 0.5000 0.2029  4 Ir 2.54
4 La 0.0462 0.0000 0.4793  1 Ir 2.68, 4 Cl 2.95

=====

(15)
Here is a relaxed LaIr2Cl crystal from Alexandria. Energies are from PBEsol.

Summary:
Volume in Å³ per atom: 19.317
Excess energy over the best structure of this formula in the dataset in eV/atom: 0.1684
Formation energy (no corrections) in meV per atom: -273
Space-group type: I4/mmm, No. 139

Cell: 3.7768 3.7768 6.0394 Å, 108.22 108.22 90.00°
With the nearest neighbours (Å) after each atom.
Fractional positions:
1 Cl 0.0000 0.0000 0.0000  4 La 2.67
2 Ir 0.7500 0.2500 0.5000  4 Ir 2.67
3 Ir 0.2500 0.7500 0.5000  4 Ir 2.67
4 La 0.5000 0.5000 0.0000  4 Cl 2.67

=====

(16)
Here is a relaxed LaIr4Cl crystal from Alexandria. Energies are from PBEsol.

Summary:
Volume in Å³ per atom: 17.800
Formation energy (no corrections) in meV per atom: 116
Space-group type: F-43m, No. 216

Cell: 5.3256 5.3256 5.3256 Å, 60.00 60.00 60.00°
With the nearest neighbours (Å) after each atom.
Fractional positions:
1 Cl 0.0000 0.0000 0.0000  12 Ir 3.12, 4 La 3.26
2 Ir 0.3750 0.3750 0.3750  6 Ir 2.66
3 Ir 0.3750 0.3750 0.8750  6 Ir 2.66
4 Ir 0.8750 0.3750 0.3750  6 Ir 2.66
5 Ir 0.3750 0.8750 0.3750  6 Ir 2.66
6 La 0.7500 0.7500 0.7500  12 Ir 3.12, 4 Cl 3.26

=====

(17)
Here is a relaxed La2TlIrCl crystal from Alexandria. Energies are from PBEsol.

Summary:
Volume in Å³ per atom: 34.332
Formation energy (no corrections) in meV per atom: 353
Space-group type: P4/mmm, No. 123

Cell: 4.9141 5.9103 5.9103 Å, 90.00 90.00 90.00°
With the nearest neighbours (Å) after each atom.
Fractional positions:
1 Cl 0.5000 0.5000 0.5000  8 La 3.84, 4 Ir 4.18
2 Tl 0.0000 0.0000 0.0000  2 Ir 2.46
3 Ir 0.5000 0.0000 0.0000  2 Tl 2.46
4 La 0.0000 0.0000 0.5000  2 Tl 2.96
5 La 0.0000 0.5000 0.0000  2 Tl 2.96

=====

(18)
Here is a relaxed LiIr2Cl crystal from Alexandria. Energies are from PBEsol.

Summary:
Volume in Å³ per atom: 17.015
Excess energy over the best structure of this formula in the dataset in eV/atom: 0.0000
Formation energy (no corrections) in meV per atom: 7
Space-group type: Pmm2, No. 25

Cell: 2.8376 3.7362 6.4198 Å, 90.00 90.00 90.00°
With the nearest neighbours (Å) after each atom.
Fractional positions:
1 Cl 0.5000 0.5000 0.6273  4 Li 2.40, 1 Ir 2.54
2 Ir 0.0000 0.0000 0.0926  4 Ir 2.51
3 Ir 0.5000 0.5000 0.2314  4 Ir 2.51, 1 Cl 2.54
4 Li 0.0000 0.0000 0.5486  4 Cl 2.40

=====

(19)
Here is a relaxed LiIr2Cl crystal from Alexandria. Energies are from PBEsol.

Summary:
Volume in Å³ per atom: 14.374
Excess energy over the best structure of this formula in the dataset in eV/atom: 0.1691
Formation energy (no corrections) in meV per atom: 176
Space-group type: Cmm2, No. 35

Cell: 2.7897 2.8202 8.4087 Å, 90.00 90.00 119.64°
With the nearest neighbours (Å) after each atom.
Fractional positions:
1 Cl 0.5000 0.0000 0.7331  2 Li 2.27
2 Ir 0.0000 0.0000 0.9946  8 Ir 2.58-2.82, 2 Cl 2.60
3 Ir 0.5000 0.0000 0.2523  8 Ir 2.58-2.82, 2 Li 2.65
4 Li 0.0000 0.0000 0.5200  2 Cl 2.27

=====

(20)
Here is a relaxed LiIr2Cl crystal from Alexandria. Energies are from PBEsol.

Summary:
Volume in Å³ per atom: 19.738
Excess energy over the best structure of this formula in the dataset in eV/atom: 0.3028
Formation energy (no corrections) in meV per atom: 309
Space-group type: P4/mmm, No. 123

Cell: 3.4365 3.4365 6.6856 Å, 90.00 90.00 90.00°
With the nearest neighbours (Å) after each atom.
Fractional positions:
1 Cl 0.0000 0.0000 0.5000  4 Li 2.43
2 Ir 0.0000 0.5000 0.0000  4 Ir 2.43
3 Ir 0.5000 0.0000 0.0000  4 Ir 2.43
4 Li 0.5000 0.5000 0.5000  4 Cl 2.43